1.
First-principles (GGA-PBE) data for an optimized crystal structure of Sc2CdTc, as listed in the Alexandria database.

Results
**Volume**: 19.72 Å³ per atom
**Energy relative to the elements**: -309 meV/atom
**Calculated density**: 6.322 Mg/m³
**DFT total energy**: -25.18 eV/cell

```
Sc2CdTc
1.0
3.351 0.000 0.000
0.000 3.311 0.002
0.000 3.280 7.111
Cd Sc Tc
1 2 1
direct
0.500 0.750 0.750
0.000 0.960 0.039
0.000 0.540 0.461
0.500 0.250 0.250
```

2.
First-principles (GGA-PBE) data for an optimized crystal structure of DyIrPb2O8, as listed in the Alexandria database.

Results
**Volume**: 14.09 Å³ per atom
**Calculated density**: 8.811 Mg/m³
**Energy relative to the elements, uncorrected**: -1.32 eV/atom
**DFT total energy**: -76.42 eV/cell

```
DyIrPb2O8
1.0
4.995 0.010 -0.003
0.047 4.980 -0.005
0.004 0.008 6.796
O Pb Dy Ir
8 2 1 1
direct
0.820 0.189 0.778
0.717 0.728 0.000
0.315 0.306 0.500
0.283 0.272 0.000
0.181 0.811 0.778
0.685 0.694 0.500
0.180 0.811 0.222
0.819 0.189 0.222
0.500 0.500 0.754
0.500 0.500 0.246
0.000 0.000 0.500
0.000 0.000 0.000
```

3.
First-principles (GGA-PBE) data for an optimized crystal structure of Y3LuH, as listed in the Alexandria database.

Results
**Volume**: 24.80 Å³ per atom
**Calculated density**: 5.929 Mg/m³
**DFT total energy**: -28.00 eV/cell

```
Y3LuH
1.0
4.986 0.000 0.000
0.000 4.986 0.000
0.000 0.000 4.986
Lu Y H
1 3 1
direct
0.500 0.500 0.500
0.500 0.000 0.000
0.000 0.500 0.000
0.000 0.000 0.500
0.000 0.000 0.000
```

4.
First-principles (GGA-PBE) data for an optimized crystal structure of KIn6Ag12, as listed in the Alexandria database.

Results
**Volume**: 22.70 Å³ per atom
**Energy relative to the elements**: 58 meV/atom
**Calculated density**: 7.785 Mg/m³
**DFT total energy**: -50.65 eV/cell

```
KIn6Ag12
1.0
7.851 0.021 0.029
-1.926 7.611 0.029
-1.926 -2.481 7.195
In Ag K
6 12 1
direct
0.697 0.287 0.287
0.303 0.713 0.713
0.713 0.713 0.303
0.713 0.303 0.713
0.287 0.697 0.287
0.287 0.287 0.697
0.889 0.500 0.111
0.628 0.628 0.880
0.500 0.889 0.111
0.120 0.372 0.372
0.628 0.880 0.628
0.372 0.120 0.372
0.372 0.372 0.120
0.111 0.500 0.889
0.500 0.111 0.889
0.880 0.628 0.628
0.889 0.111 0.500
0.111 0.889 0.500
0.000 0.000 0.000
```

Copy entry 3 word for word.
First-principles (GGA-PBE) data for an optimized crystal structure of Y3LuH, as listed in the Alexandria database.

Results
**Volume**: 24.80 Å³ per atom
**Calculated density**: 5.929 Mg/m³
**DFT total energy**: -28.00 eV/cell

```
Y3LuH
1.0
4.986 0.000 0.000
0.000 4.986 0.000
0.000 0.000 4.986
Lu Y H
1 3 1
direct
0.500 0.500 0.500
0.500 0.000 0.000
0.000 0.500 0.000
0.000 0.000 0.500
0.000 0.000 0.000
```

Q: Which of these has the lowest calculated density?
A: Y3LuH

Q: Look up the volume of the first one.
A: 19.72 Å³ per atom